(1)
4
Lattice="-5.3546 -1.6697 -1.2688 -0.8651 -4.7176 -3.1726 -2.1861 -4.7343 2.4242" Properties=species:S:1:pos:R:3 comment="Sr2ScPb, relaxed, DFT PBE-GGA" e_tot_ev_per_atom=-3.34 n_ef_per_ev_cell=4.2 sg="F-43m (216)" delta_e_f_ev_per_atom=0.0157 pbc="T T T"
Sr 0.0000 0.0000 0.0000
Sr -2.1015 -2.7804 -0.5043
Pb -4.2030 -5.5608 -1.0086
Sc -6.3044 -8.3412 -1.5130

(2)
7
Lattice="-1.5822 -5.1261 3.9644 2.6911 -2.3073 -5.6507 4.3937 3.9410 3.1081" Properties=species:S:1:pos:R:3 comment="Pa6Pb, relaxed, DFT PBE-GGA" e_tot_ev_per_atom=-7.13 n_ef_per_ev_cell=22.5 sg="Im-3m (229)" delta_e_f_ev_per_atom=1.5420 pbc="T T T"
Pa 4.2453 0.5206 0.4968
Pa 3.8196 -1.0415 -1.6929
Pa 3.1769 -0.1841 2.9006
Pa 1.6829 -2.4509 3.1147
Pa 1.2573 -4.0129 0.9250
Pa 2.3257 -3.3083 -1.4788
Pb 0.0000 0.0000 0.0000

(3)
5
Lattice="-3.2955 2.1576 1.4995 -1.0721 -3.3002 2.3923 2.7116 1.6833 3.5374" Properties=species:S:1:pos:R:3 comment="LaAgSN2, relaxed, DFT PBE-GGA" e_tot_ev_per_atom=-5.21 polymorph_energy_mev_per_atom=0.0 n_ef_per_ev_cell=2.7 sg="P4/mmm (123)" raw_formation_energy_ev_per_atom=0.501 pbc="T T T"
La -0.8280 0.2703 3.7146
N -0.5361 -1.6501 1.1962
N -1.6478 1.0788 0.7498
S 1.3558 0.8416 1.7687
Ag 0.0000 0.0000 0.0000

(4)
4
Lattice="-4.1672 -2.6136 -3.2525 -0.5903 -4.8311 -3.3297 -2.4608 -4.0717 2.9361" Properties=species:S:1:pos:R:3 comment="CaIn2Te, relaxed, DFT PBE-GGA" e_tot_ev_per_atom=-3.16 n_ef_per_ev_cell=1.6 sg="Cm (8)" raw_formation_energy_ev_per_atom=-0.503 pbc="T T T"
Ca -5.2604 -8.3762 -3.1291
In -1.6321 -2.5942 -1.1038
In -4.8521 -7.6041 -6.3858
Te -3.8404 -6.1449 -1.4325